# 1
Compound: SrZrTl4
Source: the Alexandria database
Functional: GGA-PBE
Structure: optimized geometry

Cell lengths 8.838, 8.838, 8.838 Å; angles 90.00, 90.00, 90.00 degrees
Space group F-43m (No. 216)
Symmetry-distinct sites (fractional):
Sr: 0.000 0.000 0.000 [4 per cell]
Zr: 0.250 0.250 0.250 [4 per cell]
Tl: 0.124 0.124 0.624 [16 per cell]

**Total moment**: 4.7 μB/cell
**Calculated total energy**: -3.1196 eV/atom
**ΔE_f**: 15.7 kJ per mole of atoms

---

# 2
Compound: Sm2Zn2Ag
Source: the Alexandria database
Functional: GGA-PBE
Structure: optimized geometry

Cell lengths 10.326, 4.648, 10.795 Å; angles 90.00, 115.61, 90.00 degrees
Space group C2/m (No. 12)
Symmetry-distinct sites (fractional):
Sm: 0.014 0.000 0.332 [4 per cell]
Sm: 0.193 0.000 0.107 [4 per cell]
Zn: 0.016 0.500 0.889 [4 per cell]
Zn: 0.137 0.500 0.568 [4 per cell]
Ag: 0.225 0.500 0.347 [4 per cell]

**Total moment**: 0.0 μB/cell
**Calculated total energy**: -3.2569 eV/atom
**E above lowest polymorph**: 0 meV/atom
**ΔE_f**: -27.9 kJ per mole of atoms

---

# 3
Compound: K12RbNa3
Source: the Alexandria database
Functional: GGA-PBE
Structure: optimized geometry

Cell lengths 6.440, 6.440, 25.328 Å; angles 90.00, 90.00, 90.00 degrees
Space group P4/mmm (No. 123)
Symmetry-distinct sites (fractional):
K: 0.000 0.000 0.000 [1 per cell]
K: 0.000 0.000 0.241 [2 per cell]
K: 0.000 0.000 0.500 [1 per cell]
K: 0.000 0.500 0.121 [4 per cell]
K: 0.000 0.500 0.360 [4 per cell]
Rb: 0.500 0.500 0.500 [1 per cell]
Na: 0.500 0.500 0.000 [1 per cell]
Na: 0.500 0.500 0.242 [2 per cell]

**Total moment**: 0.0 μB/cell
**Calculated total energy**: -1.1155 eV/atom
**ΔE_f**: 1.5 kJ per mole of atoms

---

# 4
Compound: Na2Cd4F9
Source: the Alexandria database
Functional: GGA-PBE
Structure: optimized geometry

Cell lengths 10.253, 5.915, 15.485 Å; angles 90.00, 90.06, 90.00 degrees
Space group C2/c (No. 15)
Symmetry-distinct sites (fractional):
Na: 0.000 0.000 0.147 [8 per cell]
Cd: 0.167 0.500 0.026 [8 per cell]
Cd: 0.167 0.500 0.310 [8 per cell]
F: 0.000 0.304 0.250 [4 per cell]
F: 0.020 0.356 0.916 [8 per cell]
F: 0.152 0.152 0.750 [8 per cell]
F: 0.168 0.209 0.416 [8 per cell]
F: 0.188 0.147 0.084 [8 per cell]

**E_form (uncorrected)**: -33.40 eV/f.u.
**Total moment**: 0.0 μB/cell
**Calculated total energy**: -3.7692 eV/atom

---

# 5
Compound: TbTh2Rh
Source: the Alexandria database
Functional: GGA-PBE
Structure: optimized geometry

Cell lengths 6.717, 3.881, 9.466 Å; angles 90.00, 103.73, 90.00 degrees
Space group Cm (No. 8)
Symmetry-distinct sites (fractional):
Tb: 0.000 0.000 0.000 [2 per cell]
Th: 0.065 0.500 0.696 [2 per cell]
Th: 0.271 0.500 0.312 [2 per cell]
Rh: 0.168 0.000 0.504 [2 per cell]

**Total moment**: 0.0 μB/cell
**Calculated total energy**: -7.0158 eV/atom
**E above lowest polymorph**: 156 meV/atom
**ΔE_f**: -30.0 kJ per mole of atoms

---

# 6
Compound: Tb3Nd2YHo6
Source: the Alexandria database
Functional: GGA-PBE
Structure: optimized geometry

Cell lengths 6.175, 10.687, 11.792 Å; angles 90.00, 100.00, 90.00 degrees
Space group C2/m (No. 12)
Symmetry-distinct sites (fractional):
Tb: 0.000 0.000 0.000 [2 per cell]
Tb: 0.000 0.334 0.000 [4 per cell]
Nd: 0.000 0.167 0.500 [4 per cell]
Y: 0.000 0.500 0.500 [2 per cell]
Ho: 0.248 0.500 0.247 [4 per cell]
Ho: 0.249 0.167 0.248 [8 per cell]

**Total moment**: 0.0 μB/cell
**Calculated total energy**: -4.7629 eV/atom
**ΔE_f**: 1.6 kJ per mole of atoms

---

# 7
Compound: RbNaBr2
Source: the Alexandria database
Functional: GGA-PBE
Structure: optimized geometry

Cell lengths 5.355, 4.420, 12.903 Å; angles 90.00, 90.00, 90.00 degrees
Space group Amm2 (No. 38)
Symmetry-distinct sites (fractional):
Rb: 0.000 0.000 0.000 [2 per cell]
Na: 0.500 0.000 0.778 [2 per cell]
Br: 0.000 0.000 0.707 [2 per cell]
Br: 0.500 0.000 0.428 [2 per cell]

**E_form (uncorrected)**: -6.35 eV/f.u.
**Total moment**: 0.0 μB/cell
**Calculated total energy**: -2.9955 eV/atom

---

# 8
Compound: Sm4Ho2Sn3O2
Source: the Alexandria database
Functional: GGA-PBE
Structure: optimized geometry

Cell lengths 4.746, 4.746, 25.196 Å; angles 90.00, 90.00, 90.00 degrees
Space group I4/mmm (No. 139)
Symmetry-distinct sites (fractional):
Sm: 0.000 0.500 0.084 [8 per cell]
Ho: 0.000 0.000 0.194 [4 per cell]
Sn: 0.000 0.000 0.320 [4 per cell]
Sn: 0.000 0.000 0.500 [2 per cell]
O: 0.000 0.000 0.105 [4 per cell]

**E_form (uncorrected)**: -16.25 eV/f.u.
**Total moment**: 0.0 μB/cell
**Calculated total energy**: -6.0191 eV/atom

---

# 9
Compound: KCo2Pb
Source: the Alexandria database
Functional: GGA-PBE
Structure: optimized geometry

Cell lengths 6.864, 3.964, 7.580 Å; angles 90.00, 107.69, 90.00 degrees
Space group Cm (No. 8)
Symmetry-distinct sites (fractional):
K: 0.000 0.000 0.000 [2 per cell]
Co: 0.048 0.500 0.640 [2 per cell]
Co: 0.214 0.000 0.641 [2 per cell]
Pb: 0.304 0.500 0.411 [2 per cell]

**Total moment**: 5.4 μB/cell
**Calculated total energy**: -4.4010 eV/atom
**E above lowest polymorph**: 0 meV/atom
**ΔE_f**: 34.1 kJ per mole of atoms

---

# 10
Compound: LiCr2Pb
Source: the Alexandria database
Functional: GGA-PBE
Structure: optimized geometry

Cell lengths 3.224, 3.224, 6.592 Å; angles 90.00, 90.00, 90.00 degrees
Space group P4mm (No. 99)
Symmetry-distinct sites (fractional):
Li: 0.000 0.000 0.000 [1 per cell]
Cr: 0.000 0.000 0.579 [1 per cell]
Cr: 0.500 0.500 0.740 [1 per cell]
Pb: 0.500 0.500 0.277 [1 per cell]

**Total moment**: 0.5 μB/cell
**Calculated total energy**: -5.9254 eV/atom
**ΔE_f**: 28.2 kJ per mole of atoms

---

# 11
Compound: Ca2AcPd9
Source: the Alexandria database
Functional: GGA-PBE
Structure: optimized geometry

Cell lengths 5.4497, 5.4497, 27.0252 Å; angles 90.00, 90.00, 120.00 degrees
Space group R-3m (No. 166, hexagonal axes)
Symmetry-distinct sites (fractional):
Ca: 0.0000 0.0000 0.1421 [6 per cell]
Ac: 0.0000 0.0000 0.0000 [3 per cell]
Pd: 0.0000 0.0000 0.3328 [6 per cell]
Pd: 0.0000 0.0000 0.5000 [3 per cell]
Pd: 0.0019 0.5010 0.9148 [18 per cell]

**Total moment**: 0.0 μB/cell
**Calculated total energy**: -5.2171 eV/atom
**ΔE_f**: -62.4 kJ per mole of atoms

---

# 12
Compound: CdSnSb
Source: the Alexandria database
Functional: GGA-PBE
Structure: optimized geometry

Cell lengths 7.114, 7.114, 7.114 Å; angles 90.00, 90.00, 90.00 degrees
Space group F-43m (No. 216)
Symmetry-distinct sites (fractional):
Cd: 0.000 0.000 0.000 [4 per cell]
Sn: 0.250 0.250 0.250 [4 per cell]
Sb: 0.250 0.250 0.750 [4 per cell]

**E_form (uncorrected)**: 0.40 eV/f.u.
**Total moment**: 0.0 μB/cell
**Calculated total energy**: -2.8797 eV/atom

---

# 13
Compound: K2MnInGa
Source: the Alexandria database
Functional: GGA-PBE
Structure: optimized geometry

Cell lengths 6.559, 6.559, 5.087 Å; angles 90.00, 90.00, 90.00 degrees
Space group P4/mmm (No. 123)
Symmetry-distinct sites (fractional):
K: 0.000 0.500 0.000 [2 per cell]
Mn: 0.000 0.000 0.500 [1 per cell]
In: 0.500 0.500 0.500 [1 per cell]
Ga: 0.500 0.500 0.000 [1 per cell]

**Total moment**: 5.0 μB/cell
**Calculated total energy**: -2.7760 eV/atom
**ΔE_f**: 62.7 kJ per mole of atoms

---

# 14
Compound: LaTeMo2
Source: the Alexandria database
Functional: GGA-PBE
Structure: optimized geometry

Cell lengths 3.3740, 3.3740, 27.7084 Å; angles 90.00, 90.00, 120.00 degrees
Space group R3m (No. 160, hexagonal axes)
Symmetry-distinct sites (fractional):
La: 0.0000 0.0000 0.0000 [3 per cell]
Te: 0.0000 0.0000 0.2284 [3 per cell]
Mo: 0.0000 0.0000 0.4838 [3 per cell]
Mo: 0.0000 0.0000 0.7571 [3 per cell]

**E_form (uncorrected)**: 1.05 eV/f.u.
**Total moment**: 0.0 μB/cell
**Calculated total energy**: -7.1709 eV/atom

---

# 15
Compound: BaAlTe4
Source: the Alexandria database
Functional: GGA-PBE
Structure: optimized geometry

Cell lengths 9.280, 9.280, 9.280 Å; angles 90.00, 90.00, 90.00 degrees
Space group F-43m (No. 216)
Symmetry-distinct sites (fractional):
Ba: 0.000 0.000 0.000 [4 per cell]
Al: 0.250 0.250 0.250 [4 per cell]
Te: 0.125 0.125 0.625 [16 per cell]

**E_form (uncorrected)**: -0.82 eV/f.u.
**Total moment**: 0.0 μB/cell
**Calculated total energy**: -3.1752 eV/atom

---

# 16
Compound: MnNbRu2
Source: the Alexandria database
Functional: GGA-PBE
Structure: optimized geometry

Cell lengths 6.213, 6.213, 6.213 Å; angles 90.00, 90.00, 90.00 degrees
Space group Fm-3m (No. 225)
Symmetry-distinct sites (fractional):
Mn: 0.000 0.000 0.000 [4 per cell]
Nb: 0.000 0.000 0.500 [4 per cell]
Ru: 0.250 0.250 0.250 [8 per cell]

**Total moment**: 16.3 μB/cell
**Calculated total energy**: -9.6158 eV/atom
**E above lowest polymorph**: 0 meV/atom
**ΔE_f**: -16.2 kJ per mole of atoms

---

# 17
Compound: CaCuRe2
Source: the Alexandria database
Functional: GGA-PBE
Structure: optimized geometry

Cell lengths 3.127, 3.131, 7.281 Å; angles 90.00, 90.07, 90.00 degrees
Space group Pm (No. 6)
Symmetry-distinct sites (fractional):
Ca: 0.000 0.000 0.000 [1 per cell]
Cu: 0.502 0.500 0.708 [1 per cell]
Re: 0.001 0.000 0.496 [1 per cell]
Re: 0.500 0.500 0.315 [1 per cell]

**Total moment**: 0.0 μB/cell
**Calculated total energy**: -7.4653 eV/atom
**E above lowest polymorph**: 0 meV/atom
**ΔE_f**: 27.3 kJ per mole of atoms

---

# 18
Compound: Co2Ni15Mo2
Source: the Alexandria database
Functional: GGA-PBE
Structure: optimized geometry

Cell lengths 7.9864, 7.9864, 12.1781 Å; angles 90.00, 90.00, 120.00 degrees
Space group R-3m (No. 166, hexagonal axes)
Symmetry-distinct sites (fractional):
Co: 0.0000 0.0000 0.0947 [6 per cell]
Ni: 0.0000 0.3181 0.0000 [18 per cell]
Ni: 0.0000 0.5000 0.5000 [9 per cell]
Ni: 0.0043 0.5021 0.1573 [18 per cell]
Mo: 0.0000 0.0000 0.3040 [6 per cell]

**Total moment**: 26.5 μB/cell
**Calculated total energy**: -6.2720 eV/atom
**ΔE_f**: 17.4 kJ per mole of atoms

---

# 19
Compound: BeNbN2
Source: the Alexandria database
Functional: GGA-PBE
Structure: optimized geometry

Cell lengths 3.1502, 3.1502, 16.2109 Å; angles 90.00, 90.00, 120.00 degrees
Space group R-3m (No. 166, hexagonal axes)
Symmetry-distinct sites (fractional):
Be: 0.0000 0.0000 0.0000 [3 per cell]
Nb: 0.0000 0.0000 0.5000 [3 per cell]
N: 0.0000 0.0000 0.0940 [6 per cell]

**E_form (uncorrected)**: -2.67 eV/f.u.
**Total moment**: 0.0 μB/cell
**Calculated total energy**: -8.2779 eV/atom

---

# 20
Compound: TbThAu4
Source: the Alexandria database
Functional: GGA-PBE
Structure: optimized geometry

Cell lengths 5.411, 9.253, 5.418 Å; angles 90.00, 90.00, 90.00 degrees
Space group Cmmm (No. 65)
Symmetry-distinct sites (fractional):
Tb: 0.000 0.000 0.000 [2 per cell]
Th: 0.000 0.500 0.500 [2 per cell]
Au: 0.000 0.164 0.500 [4 per cell]
Au: 0.000 0.332 0.000 [4 per cell]

**Total moment**: 0.0 μB/cell
**Calculated total energy**: -4.9499 eV/atom
**E above lowest polymorph**: 0 meV/atom
**ΔE_f**: -73.0 kJ per mole of atoms